HoMg2ZnSn2 | PBE | optimized geometry

CIF file:
```
data_HoMg2ZnSn2
_cell_length_a 4.453
_cell_length_b 8.702
_cell_length_c 7.316
_cell_angle_alpha 90.00
_cell_angle_beta 90.00
_cell_angle_gamma 90.00
_symmetry_space_group_name_H-M 'P m c 21'
_symmetry_Int_Tables_number 26
loop_
_symmetry_equiv_pos_as_xyz
'x,y,z'
'-x,-y,z+1/2'
'-x,y,z'
'x,-y,z+1/2'
loop_
_atom_site_label
_atom_site_fract_x
_atom_site_fract_y
_atom_site_fract_z
_atom_site_occupancy
Ho1 0.000 0.052 0.000 1
Mg1 0.000 0.331 0.377 1
Mg2 0.500 0.428 0.059 1
Zn1 0.500 0.180 0.673 1
Sn1 0.000 0.351 0.775 1
Sn2 0.500 0.134 0.283 1
```

Output
Formation energy = -29.6 kJ/mol of atoms
Density = 6.05 Mg/m³
Uncorrected energy = -3.148 eV per atom